No. 1
Below is a relaxed structure of Pr2InIr2, with properties calculated at the PBE level.

Geometry as CIF:
```
data_Pr2InIr2
_symmetry_space_group_name_H-M 'C 1 2/c 1'
_symmetry_Int_Tables_number 15
_cell_length_a 10.378
_cell_length_b 5.730
_cell_length_c 8.280
_cell_angle_alpha 90.00
_cell_angle_beta 105.20
_cell_angle_gamma 90.00
loop_
_symmetry_equiv_pos_as_xyz
'x,y,z'
'-x,-y,-z'
'-x,y,-z+1/2'
'x,-y,z+1/2'
'x+1/2,y+1/2,z'
'-x+1/2,-y+1/2,-z'
'-x+1/2,y+1/2,-z+1/2'
'x+1/2,-y+1/2,z+1/2'
loop_
_atom_site_label
_atom_site_type_symbol
_atom_site_fract_x
_atom_site_fract_y
_atom_site_fract_z
Pr1 Pr 0.145 0.157 0.147
In1 In 0.000 0.352 0.750
Ir1 Ir 0.143 0.352 0.506
```

Output
**DFT total energy**: -132.85 eV per cell


No. 2
Below is a relaxed structure of Hf2CdAg3, with properties calculated at the PBE level.

Geometry as CIF:
```
data_Hf2CdAg3
_symmetry_space_group_name_H-M 'P 4 m m'
_symmetry_Int_Tables_number 99
_cell_length_a 3.508
_cell_length_b 3.508
_cell_length_c 9.386
_cell_angle_alpha 90.00
_cell_angle_beta 90.00
_cell_angle_gamma 90.00
loop_
_symmetry_equiv_pos_as_xyz
'x,y,z'
'-y,x,z'
'-x,-y,z'
'y,-x,z'
'-x,y,z'
'y,x,z'
'x,-y,z'
'-y,-x,z'
loop_
_atom_site_label
_atom_site_type_symbol
_atom_site_fract_x
_atom_site_fract_y
_atom_site_fract_z
Hf1 Hf 0.000 0.000 0.000
Hf2 Hf 0.500 0.500 0.479
Cd1 Cd 0.500 0.500 0.815
Ag1 Ag 0.000 0.000 0.316
Ag2 Ag 0.000 0.000 0.654
Ag3 Ag 0.500 0.500 0.165
```

Output
**ΔE_f**: 0.0635 eV per atom


No. 3
Below is a relaxed structure of Er3SeS2, with properties calculated at the PBE level.

Geometry as CIF:
```
data_Er3SeS2
_symmetry_space_group_name_H-M 'P -3 m 1'
_symmetry_Int_Tables_number 164
_symmetry_space_group_name_Hall '-P 3 2"'
_cell_length_a 3.9141
_cell_length_b 3.9141
_cell_length_c 9.5947
_cell_angle_alpha 90.00
_cell_angle_beta 90.00
_cell_angle_gamma 120.00
loop_
_atom_site_label
_atom_site_type_symbol
_atom_site_fract_x
_atom_site_fract_y
_atom_site_fract_z
Er1 Er 0.0000 0.0000 0.0000
Er2 Er 0.3333 0.6667 0.6837
Se1 Se 0.0000 0.0000 0.5000
S1 S 0.3333 0.6667 0.1607
```

Output
**DFT total energy**: -36.62 eV per cell


| no. | calculated density (g/cm3) |
| --- | --- |
| 1 | 10.92 |
| 2 | 11.40 |
| 3 | 8.41 |